Record 1
The following is a DFT calculation (SCAN) of CrPtW2 at its PBEsol-relaxed geometry.

- Formation energy: -9.0 kJ/mol of atoms
- Offset from the most stable computed form: 0.0 meV/atom
- DOS(E_F): 0.724 states/eV/atom

Cell lengths 3.692, 3.984, 4.784 Å; angles 114.61, 112.70, 90.00 degrees
Each line ends with the local moment (μB).
Fractional coordinates of all 4 atoms:
W (0.757, 0.757, 0.515)  -0.15
W (0.243, 0.243, 0.485)  -0.15
Pt (0.000, 0.500, 0.000)  0.04
Cr (0.500, 0.000, 0.000)  1.89

---

Record 2
The following is a DFT calculation (SCAN) of TcRu2Br at its PBEsol-relaxed geometry.

- Offset from the most stable computed form: 201.9 meV/atom
- DOS(E_F): 0.986 states/eV/atom
- Energy relative to the elements, uncorrected: 0.799 eV/atom

Cell lengths 2.815, 3.450, 6.248 Å; angles 90.00, 90.00, 90.00 degrees
Fractional coordinates of all 4 atoms:
Br (0.500, 0.500, 0.752)
Tc (0.000, 0.000, 0.464)
Ru (0.000, 0.000, 0.033)
Ru (0.500, 0.500, 0.251)

---

Record 3
The following is a DFT calculation (SCAN) of Al2CrPd at its PBEsol-relaxed geometry.

- Formation energy: -9.9 kJ/mol of atoms
- DOS(E_F): 0.406 states/eV/atom

Cell lengths 5.445, 5.507, 5.507 Å; angles 75.86, 60.37, 60.37 degrees
Each line ends with the local moment (μB).
Fractional coordinates of all 8 atoms:
Pd (0.000, 0.000, 0.000)  0.00
Pd (0.750, 0.500, 0.500)  0.00
Al (0.639, 0.986, 0.486)  -0.05
Al (0.875, 0.486, 0.014)  -0.05
Cr (0.500, 0.000, 0.000)  3.39
Al (0.375, 0.514, 0.986)  -0.05
Al (0.111, 0.014, 0.514)  -0.05
Cr (0.250, 0.500, 0.500)  3.39

---

Spin magnetization values (in μB per cell) by entry order: 1.70; 0.00; 6.78.